Compound: TaW
Source: the Alexandria database
Functional: PBE
Structure: relaxed

Output
As for the formation energy: 2.7383 eV/atom.

Unit cell a=4.2071 b=4.2071 c=4.2071 alpha=60.00 beta=60.00 gamma=60.00
Last column: nearest neighbours and their distance in Å.
Fractional coordinates of all 2 atoms:
W (0.7500, 0.7500, 0.7500)  4 Ta 2.58
Ta (0.0000, 0.0000, 0.0000)  4 W 2.58


Compound: Na3Dy3NbO8
Source: the Alexandria database
Functional: PBE
Structure: relaxed

Output
The formation energy without anion corrections comes out at -2.71 eV/atom.

Unit cell a=6.7596 b=6.7596 c=6.8028 alpha=119.79 beta=90.00 gamma=120.00
Last column: nearest neighbours and their distance in Å.
Fractional coordinates of all 15 atoms:
O (0.2438, 0.0238, 0.3039)  1 Nb 2.11, 2 Dy 2.30
O (0.2625, 0.5251, 0.2876)  3 Dy 2.28, 3 Na 2.52-2.53
O (0.2200, 0.9762, 0.6961)  1 Nb 2.11, 2 Dy 2.30
O (0.2200, 0.4399, 0.6961)  1 Nb 2.11, 2 Dy 2.30
O (0.7800, 0.5601, 0.3039)  1 Nb 2.11, 2 Dy 2.30
O (0.7375, 0.4749, 0.7124)  3 Dy 2.28, 3 Na 2.52-2.53
O (0.7562, 0.9762, 0.6961)  1 Nb 2.11, 2 Dy 2.30
O (0.7800, 0.0238, 0.3039)  1 Nb 2.11, 2 Dy 2.30
Dy (0.5000, 0.0000, 0.5000)  6 O 2.28-2.30
Dy (0.5000, 0.5000, 0.5000)  6 O 2.28-2.30
Dy (0.0000, 0.5000, 0.5000)  6 O 2.28-2.30
Nb (0.0000, 0.0000, 0.5000)  6 O 2.11
Na (0.5000, 0.5000, 0.0000)  6 O 2.53
Na (0.0000, 0.5000, 0.0000)  6 O 2.53
Na (0.0000, 0.0000, 0.0000)  6 O 2.52-2.53


Number 1: E_tot -9.6646 eV/atom, DOS at the Fermi energy 2.82 states/eV/cell. Number 2: E_tot -7.2061 eV/atom, DOS at the Fermi energy 3.84 states/eV/cell.